Record 1
Here is crystalline CaAlSi2 at its relaxed geometry from the Alexandria database. Energies are from PBE-GGA.

```
CaAlSi2
1.0
-1.827 2.018 5.598
1.827 -2.018 5.598
1.827 2.018 -5.598
Ca Al Si
1 1 2
Cartesian
0.000 0.000 0.000
0.000 2.018 2.570
1.827 0.000 2.615
0.000 0.000 4.275
```

## Properties
**ΔE_f (raw)**: -0.143 eV per atom
**Crystal system**: orthorhombic
**Total DFT energy (no corrections)**: -4.29 eV/atom



Record 2
Here is crystalline CaAlSi at its relaxed geometry from the Alexandria database. Energies are from PBE-GGA.

```
CaAlSi
1.0
-1.616 1.829 5.371
1.616 -1.829 5.371
1.616 1.829 -5.371
Ca Al Si
1 1 1
Cartesian
0.000 0.000 0.000
0.000 0.000 3.157
0.000 0.000 7.461
```

## Properties
**ΔE_f (raw)**: -0.144 eV per atom
**Crystal system**: orthorhombic
**Total DFT energy (no corrections)**: -3.87 eV/atom



Record 3
Here is crystalline CaAlSi2 at its relaxed geometry from the Alexandria database. Energies are from PBE-GGA.

```
CaAlSi2
1.0
3.029 0.000 0.000
0.000 4.538 0.000
0.000 0.000 5.507
Ca Al Si
1 1 2
Cartesian
0.000 0.000 0.000
1.514 0.000 2.753
1.514 2.269 1.475
1.514 2.269 4.032
```

## Properties
**ΔE_f (raw)**: -0.065 eV per atom
**Crystal system**: orthorhombic
**Total DFT energy (no corrections)**: -4.21 eV/atom



Record 4
Here is crystalline CaAl2Si at its relaxed geometry from the Alexandria database. Energies are from PBE-GGA.

```
CaAl2Si
1.0
2.861 -4.494 0.000
2.861 4.494 0.000
0.000 0.000 3.124
Ca Al Si
1 2 1
Cartesian
0.000 0.000 0.000
1.431 2.247 1.562
1.431 -2.247 1.562
2.861 0.000 0.000
```

## Properties
**ΔE_f (raw)**: 0.086 eV per atom
**Crystal system**: orthorhombic
**Total DFT energy (no corrections)**: -3.64 eV/atom



Record 5
Here is crystalline Ca2AlSi3 at its relaxed geometry from the Alexandria database. Energies are from PBE-GGA.

```
Ca2AlSi3
1.0
-2.085 2.140 7.123
2.085 -2.140 7.123
2.085 2.140 -7.123
Ca Al Si
2 1 3
Cartesian
0.000 0.000 0.000
0.000 2.140 3.712
0.000 0.000 8.396
2.085 0.000 2.483
2.085 0.000 4.803
0.000 0.000 5.985
```

## Properties
**ΔE_f (raw)**: -0.371 eV per atom
**Crystal system**: orthorhombic
**Total DFT energy (no corrections)**: -4.37 eV/atom



Record 6
Here is crystalline CaAlSi2 at its relaxed geometry from the Alexandria database. Energies are from PBE-GGA.

```
CaAlSi2
1.0
2.440 -2.511 0.000
2.440 2.511 0.000
0.000 0.000 6.319
Ca Al Si
1 1 2
Cartesian
0.000 0.000 0.000
0.000 0.000 3.159
2.440 0.000 1.976
2.440 0.000 4.343
```

## Properties
**ΔE_f (raw)**: -0.146 eV per atom
**Crystal system**: orthorhombic
**Total DFT energy (no corrections)**: -4.29 eV/atom



Record 7
Here is crystalline CaAl2Si at its relaxed geometry from the Alexandria database. Energies are from PBE-GGA.

```
CaAl2Si
1.0
2.109 1.218 5.734
-2.109 1.218 5.734
0.000 -2.436 5.734
Ca Al Si
1 2 1
Cartesian
0.000 0.000 0.000
0.000 0.000 3.731
0.000 0.000 13.470
0.000 0.000 8.601
```

## Properties
**ΔE_f (raw)**: -0.068 eV per atom
**Crystal system**: trigonal
**Total DFT energy (no corrections)**: -3.80 eV/atom



Record 8
Here is crystalline CaAlSi at its relaxed geometry from the Alexandria database. Energies are from PBE-GGA.

```
CaAlSi
1.0
-2.087 3.680 4.401
2.087 -3.680 4.401
2.087 3.680 -4.401
Ca Al Si
2 2 2
Cartesian
0.000 0.000 2.151
0.000 0.000 6.650
0.000 2.438 0.000
0.000 4.922 0.000
2.087 1.188 0.000
0.000 2.492 4.401
```

## Properties
**ΔE_f (raw)**: -0.350 eV per atom
**Crystal system**: orthorhombic
**Total DFT energy (no corrections)**: -4.07 eV/atom



Record 9
Here is crystalline CaAlSi2 at its relaxed geometry from the Alexandria database. Energies are from PBE-GGA.

```
CaAlSi2
1.0
3.047 -4.031 0.000
3.047 4.031 0.000
0.000 0.000 3.078
Ca Al Si
1 1 2
Cartesian
0.000 0.000 0.000
3.047 0.000 0.000
1.524 2.015 1.539
1.524 -2.015 1.539
```

## Properties
**ΔE_f (raw)**: 0.063 eV per atom
**Crystal system**: orthorhombic
**Total DFT energy (no corrections)**: -4.08 eV/atom



Record 10
Here is crystalline CaAlSi at its relaxed geometry from the Alexandria database. Energies are from PBE-GGA.

```
CaAlSi
1.0
4.203 0.000 0.000
-2.102 3.640 0.000
0.000 0.000 21.846
Ca Al Si
5 5 5
Cartesian
0.000 0.000 0.000
0.000 0.000 4.355
0.000 0.000 8.761
0.000 0.000 13.085
0.000 0.000 17.491
0.000 2.427 1.936
0.000 2.427 19.911
2.102 1.213 6.729
2.102 1.213 10.923
2.102 1.213 15.117
0.000 2.427 6.415
0.000 2.427 10.923
0.000 2.427 15.431
2.102 1.213 2.322
2.102 1.213 19.524
```

## Properties
**ΔE_f (raw)**: -0.390 eV per atom
**Crystal system**: hexagonal
**Total DFT energy (no corrections)**: -4.11 eV/atom



Record 11
Here is crystalline Ca2AlSi2 at its relaxed geometry from the Alexandria database. Energies are from PBE-GGA.

```
Ca2AlSi2
1.0
4.347 0.000 0.000
2.164 5.584 0.000
2.167 0.873 9.463
Ca Al Si
4 2 4
Cartesian
1.082 1.168 0.848
3.251 2.080 6.252
5.427 4.377 3.211
7.595 5.289 8.615
3.254 1.980 2.966
5.424 4.477 6.497
3.254 5.117 5.472
3.258 3.505 1.017
5.420 2.952 8.446
5.424 1.340 3.991
```

## Properties
**ΔE_f (raw)**: -0.394 eV per atom
**Crystal system**: triclinic
**Total DFT energy (no corrections)**: -4.11 eV/atom



Record 12
Here is crystalline CaAl2Si at its relaxed geometry from the Alexandria database. Energies are from PBE-GGA.

```
CaAl2Si
1.0
2.942 -5.169 0.000
2.942 5.169 0.000
-1.546 0.000 2.613
Ca Al Si
1 2 1
Cartesian
0.000 0.000 0.000
1.471 2.584 0.000
1.471 -2.584 0.000
2.942 0.000 0.000
```

## Properties
**ΔE_f (raw)**: 0.071 eV per atom
**Crystal system**: monoclinic
**Total DFT energy (no corrections)**: -3.66 eV/atom



Record 13
Here is crystalline CaAlSi at its relaxed geometry from the Alexandria database. Energies are from PBE-GGA.

```
CaAlSi
1.0
4.203 0.000 0.000
-2.102 3.640 0.000
0.000 0.000 4.392
Ca Al Si
1 1 1
Cartesian
0.000 0.000 0.000
2.102 1.213 2.196
0.000 2.427 2.196
```

## Properties
**ΔE_f (raw)**: -0.388 eV per atom
**Crystal system**: hexagonal
**Total DFT energy (no corrections)**: -4.11 eV/atom



Record 14
Here is crystalline CaAlSi2 at its relaxed geometry from the Alexandria database. Energies are from PBE-GGA.

```
CaAlSi2
1.0
13.560 0.000 0.000
0.000 4.284 0.000
0.000 0.000 10.914
Ca Al Si
8 8 16
Cartesian
0.764 1.071 2.679
2.685 3.213 10.581
4.095 1.071 5.124
6.016 3.213 8.136
7.544 1.071 2.778
9.465 3.213 5.790
10.875 1.071 0.333
12.796 3.213 8.234
0.799 1.071 6.052
2.574 3.213 7.396
4.207 1.071 1.939
5.981 3.213 0.595
7.580 1.071 10.319
9.354 3.213 8.975
10.987 1.071 3.518
12.761 3.213 4.862
0.439 1.071 10.604
1.439 1.071 8.491
1.750 3.213 4.973
2.941 3.213 2.750
3.839 1.071 8.206
5.030 1.071 10.430
5.341 3.213 3.034
6.341 3.213 5.147
7.220 1.071 5.767
8.220 1.071 7.880
8.530 3.213 0.484
9.722 3.213 2.707
10.619 1.071 8.164
11.810 1.071 5.941
12.121 3.213 2.423
13.121 3.213 0.310
```

## Properties
**ΔE_f (raw)**: -0.239 eV per atom
**Crystal system**: orthorhombic
**Total DFT energy (no corrections)**: -4.39 eV/atom



Record 15
Here is crystalline CaAlSi2 at its relaxed geometry from the Alexandria database. Energies are from PBE-GGA.

```
CaAlSi2
1.0
3.042 0.000 0.000
0.000 4.684 0.000
0.000 0.000 5.296
Ca Al Si
1 1 2
Cartesian
0.000 0.000 0.000
1.521 2.342 1.431
1.521 0.000 2.682
1.521 2.342 4.047
```

## Properties
**ΔE_f (raw)**: -0.017 eV per atom
**Crystal system**: orthorhombic
**Total DFT energy (no corrections)**: -4.16 eV/atom



Record 16
Here is crystalline Ca8Al2Si at its relaxed geometry from the Alexandria database. Energies are from PBE-GGA.

```
Ca8Al2Si
1.0
-2.721 3.693 8.414
2.721 -3.693 8.414
2.721 3.693 -8.414
Ca Al Si
8 2 1
Cartesian
2.721 1.939 -2.288
0.000 0.000 3.267
0.000 1.871 0.000
2.721 1.939 2.288
0.000 1.754 6.125
0.000 5.515 0.000
0.000 0.000 13.560
0.000 1.754 10.702
2.721 0.000 5.361
0.000 3.693 3.053
2.721 0.000 0.000
```

## Properties
**ΔE_f (raw)**: -0.150 eV per atom
**Crystal system**: orthorhombic
**Total DFT energy (no corrections)**: -2.78 eV/atom



Record 17
Here is crystalline CaAlSi at its relaxed geometry from the Alexandria database. Energies are from PBE-GGA.

```
CaAlSi
1.0
0.000 3.368 3.368
3.368 0.000 3.368
3.368 3.368 0.000
Ca Al Si
1 1 1
Cartesian
0.000 0.000 0.000
5.052 5.052 5.052
1.684 1.684 1.684
```

## Properties
**ΔE_f (raw)**: 0.419 eV per atom
**Crystal system**: cubic
**Total DFT energy (no corrections)**: -3.30 eV/atom



Record 18
Here is crystalline Ca4AlSi at its relaxed geometry from the Alexandria database. Energies are from PBE-GGA.

```
Ca4AlSi
1.0
0.000 4.533 4.533
4.533 0.000 4.533
4.533 4.533 0.000
Ca Al Si
4 1 1
Cartesian
1.130 1.130 1.130
3.402 3.402 1.130
3.402 1.130 3.402
1.130 3.402 3.402
4.533 4.533 4.533
6.799 6.799 6.799
```

## Properties
**ΔE_f (raw)**: 0.565 eV per atom
**Crystal system**: cubic
**Total DFT energy (no corrections)**: -2.30 eV/atom



Record 19
Here is crystalline CaAl2Si at its relaxed geometry from the Alexandria database. Energies are from PBE-GGA.

```
CaAl2Si
1.0
3.204 0.000 0.000
0.000 4.771 0.000
-0.294 0.000 5.318
Ca Al Si
1 2 1
Cartesian
0.000 0.000 0.000
1.237 2.385 3.947
1.672 2.385 1.371
1.455 0.000 2.659
```

## Properties
**ΔE_f (raw)**: -0.040 eV per atom
**Crystal system**: monoclinic
**Total DFT energy (no corrections)**: -3.77 eV/atom



Record 20
Here is crystalline CaAlSi at its relaxed geometry from the Alexandria database. Energies are from PBE-GGA.

```
CaAlSi
1.0
5.294 -2.097 0.000
5.294 2.097 0.000
-4.169 0.000 5.718
Ca Al Si
2 2 2
Cartesian
-0.698 0.000 1.825
7.117 0.000 3.894
-0.331 0.000 5.299
6.750 0.000 0.419
2.250 0.000 1.613
4.169 0.000 4.105
```

## Properties
**ΔE_f (raw)**: -0.374 eV per atom
**Crystal system**: monoclinic
**Total DFT energy (no corrections)**: -4.10 eV/atom



Record 21
Here is crystalline CaAl2Si at its relaxed geometry from the Alexandria database. Energies are from PBE-GGA.

```
CaAl2Si
1.0
4.147 -1.956 0.000
4.147 1.956 0.000
-1.903 0.000 5.330
Ca Al Si
1 2 1
Cartesian
0.000 0.000 0.000
0.631 0.000 3.440
3.093 0.000 2.537
5.615 0.000 1.864
```

## Properties
**ΔE_f (raw)**: -0.151 eV per atom
**Crystal system**: monoclinic
**Total DFT energy (no corrections)**: -3.88 eV/atom



Record 22
Here is crystalline CaAlSi2 at its relaxed geometry from the Alexandria database. Energies are from PBE-GGA.

```
CaAlSi2
1.0
4.281 0.000 0.000
0.000 4.281 0.000
0.000 0.000 4.012
Ca Al Si
1 1 2
Cartesian
0.000 0.000 0.000
2.140 2.140 0.000
0.000 2.140 2.006
2.140 0.000 2.006
```

## Properties
**ΔE_f (raw)**: -0.044 eV per atom
**Crystal system**: tetragonal
**Total DFT energy (no corrections)**: -4.19 eV/atom



Record 23
Here is crystalline CaAlSi at its relaxed geometry from the Alexandria database. Energies are from PBE-GGA.

```
CaAlSi
1.0
0.000 3.231 3.231
3.231 0.000 3.231
3.231 3.231 0.000
Ca Al Si
1 1 1
Cartesian
0.000 0.000 0.000
3.231 3.231 3.231
1.615 1.615 1.615
```

## Properties
**ΔE_f (raw)**: -0.102 eV per atom
**Crystal system**: cubic
**Total DFT energy (no corrections)**: -3.82 eV/atom



Record 24
Here is crystalline CaAlSi3 at its relaxed geometry from the Alexandria database. Energies are from PBE-GGA.

```
CaAlSi3
1.0
4.820 0.000 0.000
0.000 4.820 0.000
0.000 0.000 4.820
Ca Al Si
1 1 3
Cartesian
0.000 0.000 0.000
2.410 2.410 2.410
0.000 2.410 2.410
2.410 0.000 2.410
2.410 2.410 0.000
```

## Properties
**ΔE_f (raw)**: 0.416 eV per atom
**Crystal system**: cubic
**Total DFT energy (no corrections)**: -3.99 eV/atom



Record 25
Here is crystalline SrCaAl2Si2 at its relaxed geometry from the Alexandria database. Energies are from PBE-GGA.

```
SrCaAl2Si2
1.0
4.227 0.000 0.000
-2.114 3.661 0.000
0.000 0.000 9.184
Sr Ca Al Si
1 1 2 2
Cartesian
0.000 0.000 0.000
0.000 0.000 4.592
0.000 2.441 6.807
2.114 1.220 2.377
0.000 2.441 2.425
2.114 1.220 6.758
```

## Properties
**ΔE_f (raw)**: -0.385 eV per atom
**Crystal system**: trigonal
**Total DFT energy (no corrections)**: -4.05 eV/atom



Record 26
Here is crystalline CaTi2AlSi at its relaxed geometry from the Alexandria database. Energies are from PBE-GGA.

```
CaTi2AlSi
1.0
4.872 0.000 0.000
0.000 4.872 0.000
0.000 0.000 4.759
Ca Ti Al Si
1 2 1 1
Cartesian
0.000 0.000 0.000
0.000 2.436 2.380
2.436 0.000 2.380
2.436 2.436 2.380
2.436 2.436 0.000
```

## Properties
**ΔE_f (raw)**: 0.609 eV per atom
**Crystal system**: tetragonal
**Total DFT energy (no corrections)**: -4.78 eV/atom



| no. | volume (A^3/atom) | density (g/cm3) |
| --- | --- | --- |
| 1 | 20.6 | 2.48 |
| 2 | 21.2 | 2.49 |
| 3 | 18.9 | 2.70 |
| 4 | 20.1 | 2.52 |
| 5 | 21.2 | 2.50 |
| 6 | 19.4 | 2.64 |
| 7 | 22.1 | 2.29 |
| 8 | 22.5 | 2.34 |
| 9 | 18.9 | 2.71 |
| 10 | 22.3 | 2.36 |
| 11 | 23.0 | 2.36 |
| 12 | 19.9 | 2.55 |
| 13 | 22.4 | 2.35 |
| 14 | 19.8 | 2.58 |
| 15 | 18.9 | 2.71 |
| 16 | 30.7 | 1.98 |
| 17 | 25.5 | 2.07 |
| 18 | 31.0 | 1.92 |
| 19 | 20.3 | 2.49 |
| 20 | 21.2 | 2.49 |
| 21 | 21.6 | 2.35 |
| 22 | 18.4 | 2.78 |
| 23 | 22.5 | 2.34 |
| 24 | 22.4 | 2.24 |
| 25 | 23.7 | 2.78 |
| 26 | 22.6 | 2.81 |